*a*
Computed, not measured: LiZr3Mn after structural relaxation at the GGA-PBE level of DFT.

Unit cell a=4.887 b=4.887 c=4.887 alpha=90.00 beta=90.00 gamma=90.00
Fractional coordinates of all 5 atoms:
Mn 0.000 0.000 0.000
Zr 0.000 0.500 0.000
Zr 0.000 0.000 0.500
Zr 0.500 0.000 0.000
Li 0.500 0.500 0.500

Computed properties:
As for the space group: No. 221.

*b*
Computed, not measured: LiZr3Mn after structural relaxation at the GGA-PBE level of DFT.

Unit cell a=4.593 b=4.593 c=4.593 alpha=90.00 beta=90.00 gamma=90.00
Fractional coordinates of all 5 atoms:
Mn 0.500 0.500 0.500
Zr 0.000 0.500 0.000
Zr 0.000 0.000 0.500
Zr 0.500 0.000 0.000
Li 0.000 0.000 0.000

Computed properties:
As for the space group: No. 221.

Which structure loses on stability? *b* does.

*a*
Computed, not measured: LiZrMn3 after structural relaxation at the GGA-PBE level of DFT.

Unit cell a=4.212 b=4.212 c=4.212 alpha=90.00 beta=90.00 gamma=90.00
Last column: magnetic moment on the atom in μB.
Fractional coordinates of all 5 atoms:
Mn 0.000 0.500 0.000  2.94
Mn 0.000 0.000 0.500  3.04
Mn 0.500 0.000 0.000  2.68
Zr 0.500 0.500 0.500  -0.59
Li 0.000 0.000 0.000  0.03

Computed properties:
As for the space group: No. 221.

*b*
Computed, not measured: LiZrMn3 after structural relaxation at the GGA-PBE level of DFT.

Unit cell a=4.909 b=4.909 c=4.909 alpha=90.00 beta=90.00 gamma=90.00
Last column: magnetic moment on the atom in μB.
Fractional coordinates of all 5 atoms:
Mn 0.000 0.500 0.000  3.40
Mn 0.000 0.000 0.500  3.12
Mn 0.500 0.000 0.000  3.79
Zr 0.000 0.000 0.000  -0.81
Li 0.500 0.500 0.500  -0.01

Computed properties:
As for the space group: No. 221.

Which structure loses on stability? *b* does.

*a*
Computed, not measured: LiMo2 after structural relaxation at the GGA-PBE level of DFT.

Unit cell a=8.211 b=8.211 c=4.703 alpha=90.00 beta=90.00 gamma=162.10
Fractional coordinates of all 6 atoms:
Li 0.784 0.216 0.750
Li 0.216 0.784 0.250
Mo 0.110 0.890 0.750
Mo 0.451 0.549 0.750
Mo 0.549 0.451 0.250
Mo 0.890 0.110 0.250

Computed properties:
As for the space group: No. 63.

*b*
Computed, not measured: LiMo2 after structural relaxation at the GGA-PBE level of DFT.

Unit cell a=4.350 b=4.350 c=5.227 alpha=90.00 beta=90.00 gamma=120.00
Fractional coordinates of all 6 atoms:
Li 0.333 0.667 0.250
Li 0.667 0.333 0.750
Mo 0.000 0.000 0.000
Mo 0.000 0.000 0.500
Mo 0.333 0.667 0.750
Mo 0.667 0.333 0.250

Computed properties:
As for the space group: No. 194.

Which structure loses on stability? *b* does.

*a*
Computed, not measured: LiMo2 after structural relaxation at the GGA-PBE level of DFT.

Unit cell a=5.340 b=5.340 c=8.300 alpha=90.00 beta=90.00 gamma=120.00
Fractional coordinates of all 12 atoms:
Mo 0.000 0.000 0.000
Mo 0.000 0.000 0.500
Mo 0.828 0.657 0.250
Mo 0.172 0.343 0.750
Mo 0.343 0.172 0.250
Mo 0.828 0.172 0.250
Mo 0.172 0.828 0.750
Mo 0.657 0.828 0.750
Li 0.333 0.667 0.067
Li 0.667 0.333 0.567
Li 0.667 0.333 0.933
Li 0.333 0.667 0.433

Computed properties:
As for the space group: No. 194.

*b*
Computed, not measured: LiMo2 after structural relaxation at the GGA-PBE level of DFT.

Unit cell a=7.229 b=7.229 c=7.229 alpha=159.32 beta=159.32 gamma=29.40
Fractional coordinates of all 3 atoms:
Li 0.500 0.500 0.000
Mo 0.166 0.166 0.000
Mo 0.834 0.834 0.000

Computed properties:
As for the space group: No. 139.

*c*
Computed, not measured: LiMo2 after structural relaxation at the GGA-PBE level of DFT.

Unit cell a=5.583 b=5.583 c=5.583 alpha=90.00 beta=90.00 gamma=90.00
Fractional coordinates of all 12 atoms:
Mo 0.631 0.631 0.369
Mo 0.369 0.369 0.631
Mo 0.131 0.869 0.631
Mo 0.869 0.131 0.369
Mo 0.369 0.131 0.131
Mo 0.631 0.869 0.869
Mo 0.869 0.369 0.869
Mo 0.131 0.631 0.131
Li 0.000 0.000 0.000
Li 0.500 0.500 0.000
Li 0.500 0.000 0.500
Li 0.000 0.500 0.500

Computed properties:
As for the space group: No. 205.

Which structure loses on stability? *c* does.

*a*
Computed, not measured: Li2Mo after structural relaxation at the GGA-PBE level of DFT.

Unit cell a=7.512 b=7.512 c=7.512 alpha=160.33 beta=160.33 gamma=27.95
Fractional coordinates of all 3 atoms:
Li 0.660 0.660 0.000
Li 0.340 0.340 0.000
Mo 0.000 0.000 0.000

Computed properties:
As for the space group: No. 139.

*b*
Computed, not measured: Li2Mo after structural relaxation at the GGA-PBE level of DFT.

Unit cell a=4.317 b=4.317 c=5.178 alpha=90.00 beta=90.00 gamma=120.00
Fractional coordinates of all 6 atoms:
Li 0.000 0.000 0.000
Li 0.000 0.000 0.500
Li 0.333 0.667 0.250
Li 0.667 0.333 0.750
Mo 0.667 0.333 0.250
Mo 0.333 0.667 0.750

Computed properties:
As for the space group: No. 194.

Which structure loses on stability? *b* does.

*a*
Computed, not measured: Li2Mo after structural relaxation at the GGA-PBE level of DFT.

Unit cell a=5.597 b=5.597 c=5.597 alpha=99.53 beta=99.53 gamma=131.98
Fractional coordinates of all 6 atoms:
Li 0.339 0.161 0.500
Li 0.661 0.839 0.500
Li 0.161 0.661 0.821
Li 0.839 0.339 0.179
Mo 0.250 0.250 0.000
Mo 0.750 0.750 0.000

Computed properties:
As for the space group: No. 140.

*b*
Computed, not measured: Li2Mo after structural relaxation at the GGA-PBE level of DFT.

Unit cell a=4.622 b=4.622 c=4.622 alpha=60.00 beta=60.00 gamma=60.00
Last column: magnetic moment on the atom in μB.
Fractional coordinates of all 3 atoms:
Li 0.750 0.750 0.750  0.04
Li 0.250 0.250 0.250  0.04
Mo 0.000 0.000 0.000  3.39

Computed properties:
As for the space group: No. 225.

*c*
Computed, not measured: Li2Mo after structural relaxation at the GGA-PBE level of DFT.

Unit cell a=2.712 b=2.712 c=7.582 alpha=90.00 beta=90.00 gamma=120.00
Fractional coordinates of all 3 atoms:
Li 0.667 0.333 0.677
Li 0.333 0.667 0.323
Mo 0.000 0.000 0.000

Computed properties:
As for the space group: No. 164.

Which structure loses on stability? *b* does.

*a*
Computed, not measured: Li2Mo after structural relaxation at the GGA-PBE level of DFT.

Unit cell a=4.619 b=4.619 c=8.977 alpha=90.00 beta=90.00 gamma=120.00
Fractional coordinates of all 12 atoms:
Mo 0.333 0.667 0.036
Mo 0.667 0.333 0.536
Mo 0.667 0.333 0.964
Mo 0.333 0.667 0.464
Li 0.000 0.000 0.000
Li 0.000 0.000 0.500
Li 0.829 0.658 0.250
Li 0.171 0.342 0.750
Li 0.342 0.171 0.250
Li 0.829 0.171 0.250
Li 0.171 0.829 0.750
Li 0.658 0.829 0.750

Computed properties:
As for the space group: No. 194.

*b*
Computed, not measured: Li2Mo after structural relaxation at the GGA-PBE level of DFT.

Unit cell a=4.631 b=4.631 c=2.456 alpha=90.00 beta=90.00 gamma=120.00
Last column: magnetic moment on the atom in μB.
Fractional coordinates of all 3 atoms:
Li 0.333 0.667 0.501  0.00
Li 0.667 0.333 0.499  0.00
Mo 0.000 0.000 0.000  0.59

Computed properties:
As for the space group: No. 191.

Which structure loses on stability? *b* does.

*a*
Computed, not measured: Li2Mo after structural relaxation at the GGA-PBE level of DFT.

Unit cell a=5.252 b=5.252 c=2.376 alpha=90.00 beta=90.00 gamma=90.00
Fractional coordinates of all 3 atoms:
Li 0.000 0.500 0.500
Li 0.500 0.000 0.500
Mo 0.000 0.000 0.000

Computed properties:
As for the space group: No. 123.

*b*
Computed, not measured: Li2Mo after structural relaxation at the GGA-PBE level of DFT.

Unit cell a=8.373 b=8.373 c=4.631 alpha=90.00 beta=90.00 gamma=162.77
Fractional coordinates of all 6 atoms:
Li 0.702 0.298 0.750
Li 0.381 0.619 0.750
Li 0.298 0.702 0.250
Li 0.619 0.381 0.250
Mo 0.038 0.962 0.750
Mo 0.962 0.038 0.250

Computed properties:
As for the space group: No. 63.

*c*
Computed, not measured: Li2Mo after structural relaxation at the GGA-PBE level of DFT.

Unit cell a=5.759 b=5.759 c=4.643 alpha=90.00 beta=90.00 gamma=120.00
Last column: magnetic moment on the atom in μB.
Fractional coordinates of all 9 atoms:
Li 0.214 0.000 0.000  0.00
Li 0.000 0.214 0.000  0.00
Li 0.786 0.786 0.000  0.00
Li 0.510 0.000 0.500  0.00
Li 0.000 0.510 0.500  0.00
Li 0.490 0.490 0.500  0.00
Mo 0.333 0.667 0.000  -0.72
Mo 0.667 0.333 0.000  -0.72
Mo 0.000 0.000 0.500  1.77

Computed properties:
As for the space group: No. 189.

*d*
Computed, not measured: Li2Mo after structural relaxation at the GGA-PBE level of DFT.

Unit cell a=13.172 b=13.172 c=13.172 alpha=163.46 beta=163.46 gamma=23.48
Fractional coordinates of all 12 atoms:
Mo 0.906 0.906 0.000
Mo 0.094 0.094 0.000
Mo 0.156 0.656 0.500
Mo 0.344 0.844 0.500
Li 0.750 0.750 0.000
Li 0.250 0.250 0.000
Li 0.000 0.500 0.500
Li 0.500 0.000 0.500
Li 0.580 0.580 0.000
Li 0.420 0.420 0.000
Li 0.830 0.330 0.500
Li 0.670 0.170 0.500

Computed properties:
As for the space group: No. 141.

Which structure loses on stability? *c* does.

*a*
Computed, not measured: Li5Mo after structural relaxation at the GGA-PBE level of DFT.

Unit cell a=6.942 b=6.942 c=3.919 alpha=90.00 beta=90.00 gamma=146.76
Last column: magnetic moment on the atom in μB.
Fractional coordinates of all 6 atoms:
Li 0.341 0.659 0.500  0.00
Li 0.162 0.838 0.000  -0.01
Li 0.000 0.000 0.500  0.03
Li 0.838 0.162 0.000  -0.01
Li 0.659 0.341 0.500  0.00
Mo 0.500 0.500 0.000  2.30

Computed properties:
As for the space group: No. 65.

*b*
Computed, not measured: Li5Mo after structural relaxation at the GGA-PBE level of DFT.

Unit cell a=5.704 b=5.704 c=7.222 alpha=77.37 beta=77.37 gamma=25.92
Last column: magnetic moment on the atom in μB.
Fractional coordinates of all 6 atoms:
Li 0.009 0.009 0.979  0.00
Li 0.346 0.346 0.307  0.00
Li 0.672 0.672 0.662  0.00
Li 0.612 0.612 0.283  0.00
Li 0.925 0.925 0.642  0.00
Mo 0.270 0.270 0.961  0.48

Computed properties:
As for the space group: No. 8.

*c*
Computed, not measured: Li5Mo after structural relaxation at the GGA-PBE level of DFT.

Unit cell a=2.641 b=2.641 c=14.521 alpha=90.00 beta=90.00 gamma=90.00
Fractional coordinates of all 6 atoms:
Li 0.000 0.000 0.843
Li 0.000 0.000 0.157
Li 0.500 0.500 0.670
Li 0.500 0.500 0.330
Li 0.000 0.000 0.500
Mo 0.500 0.500 0.000

Computed properties:
As for the space group: No. 123.

Which structure loses on stability? *a* does.

*a*
Computed, not measured: LiMo after structural relaxation at the GGA-PBE level of DFT.

Unit cell a=2.501 b=4.633 c=5.442 alpha=90.00 beta=90.00 gamma=90.00
Fractional coordinates of all 4 atoms:
Li 0.000 0.000 0.045
Li 0.000 0.500 0.288
Mo 0.500 0.000 0.561
Mo 0.500 0.500 0.772

Computed properties:
As for the space group: No. 51.

*b*
Computed, not measured: LiMo after structural relaxation at the GGA-PBE level of DFT.

Unit cell a=5.787 b=5.787 c=6.743 alpha=79.56 beta=79.56 gamma=25.27
Fractional coordinates of all 6 atoms:
Li 0.982 0.982 0.014
Li 0.334 0.334 0.350
Li 0.397 0.397 0.699
Mo 0.661 0.661 0.693
Mo 0.081 0.081 0.376
Mo 0.712 0.712 0.035

Computed properties:
As for the space group: No. 8.

Which structure loses on stability? *a* does.